No. 1
Here is a relaxed MoAsAu2 crystal from Alexandria. Energies are from GGA-PBE.

Geometry as POSCAR:
```
MoAsAu2
1.0
-1.931 1.931 4.687
1.931 -1.931 4.687
1.931 1.931 -4.687
Mo As Au
1 1 2
direct
0.000 0.000 0.000
0.500 0.500 0.000
0.250 0.750 0.500
0.750 0.250 0.500
```

=====

No. 2
Here is a relaxed CaAcCePb crystal from Alexandria. Energies are from GGA-PBE.

Geometry as POSCAR:
```
CaAcCePb
1.0
0.000 4.075 4.075
4.075 0.000 4.075
4.075 4.075 0.000
Ca Ac Ce Pb
1 1 1 1
direct
0.000 0.000 0.000
0.750 0.750 0.750
0.500 0.500 0.500
0.250 0.250 0.250
```

=====

No. 3
Here is a relaxed SrLaFe2 crystal from Alexandria. Energies are from GGA-PBE.

Geometry as POSCAR:
```
SrLaFe2
1.0
-2.124 2.124 5.321
2.124 -2.124 5.321
2.124 2.124 -5.321
Sr La Fe
1 1 2
direct
0.000 0.000 0.000
0.750 0.250 0.500
0.250 0.750 0.500
0.500 0.500 0.000
```

=====

No. 4
Here is a relaxed KBaYV2 crystal from Alexandria. Energies are from GGA-PBE.

Geometry as POSCAR:
```
KBaYV2
1.0
5.329 0.000 0.000
0.000 5.329 0.000
0.000 0.000 5.720
K Ba Y V
1 1 1 2
direct
0.000 0.000 0.000
0.000 0.000 0.500
0.500 0.500 0.000
0.000 0.500 0.500
0.500 0.000 0.500
```

=====

No. 5
Here is a relaxed Mg crystal from Alexandria. Energies are from GGA-PBE.

Geometry as POSCAR:
```
Mg
1.0
3.139 0.000 0.000
0.000 6.550 3.750
0.000 -6.550 3.750
Mg
6
direct
0.000 0.000 0.000
0.000 0.529 0.765
0.000 0.765 0.529
0.500 0.185 0.769
0.500 0.347 0.347
0.500 0.769 0.185
```

=====

No. 6
Here is a relaxed CdNiAgAu2 crystal from Alexandria. Energies are from GGA-PBE.

Geometry as POSCAR:
```
CdNiAgAu2
1.0
4.812 0.000 0.000
0.000 4.812 0.000
0.000 0.000 4.792
Cd Ni Ag Au
1 1 1 2
direct
0.000 0.000 0.000
0.000 0.000 0.500
0.500 0.500 0.000
0.000 0.500 0.500
0.500 0.000 0.500
```

=====

No. 7
Here is a relaxed DyCo6B3 crystal from Alexandria. Energies are from GGA-PBE.

Geometry as POSCAR:
```
DyCo6B3
1.0
4.973 0.000 0.000
2.482 4.383 0.000
2.451 -0.890 4.849
Dy Co B
1 6 3
direct
0.000 0.000 0.000
0.109 0.468 0.788
0.259 0.105 0.400
0.304 0.581 0.313
0.635 0.465 0.786
0.686 0.950 0.672
0.805 0.574 0.313
0.326 0.300 0.047
0.585 0.324 0.492
0.591 0.767 0.051
```

=====

Energy of formation for the records above, in order: 411, 14, 809, 1791, 144, 488, -267 meV per atom
V for the records above, in order: 17.5, 33.8, 24.0, 32.5, 25.7, 22.2, 10.6 Å³/atom